Entry 1:
Material: Na2Mg2NiH6
Method: DFT, PBE
State: optimized geometry Values from VASP.

Structure (Quantum ESPRESSO input):
```
&SYSTEM
  ibrav = 0, nat = 44, ntyp = 4
/
ATOMIC_SPECIES
H 1.01 H.upf
Ni 58.69 Ni.upf
Mg 24.30 Mg.upf
Na 22.99 Na.upf
ATOMIC_POSITIONS crystal
H 0.969 0.750 0.868
H 0.264 0.602 0.521
H 0.236 0.602 0.021
H 0.132 0.984 0.276
H 0.469 0.250 0.632
H 0.341 0.250 0.405
H 0.264 0.898 0.521
H 0.132 0.516 0.276
H 0.159 0.250 0.905
H 0.868 0.016 0.724
H 0.736 0.398 0.479
H 0.764 0.398 0.979
H 0.368 0.516 0.776
H 0.764 0.102 0.979
H 0.632 0.016 0.224
H 0.841 0.750 0.095
H 0.659 0.750 0.595
H 0.236 0.898 0.021
H 0.031 0.250 0.132
H 0.368 0.984 0.776
H 0.632 0.484 0.224
H 0.736 0.102 0.479
H 0.531 0.750 0.368
H 0.868 0.484 0.724
Ni 0.058 0.750 0.000
Ni 0.442 0.750 0.500
Ni 0.942 0.250 0.000
Ni 0.558 0.250 0.500
Mg 0.061 0.007 0.872
Mg 0.939 0.993 0.128
Mg 0.439 0.007 0.372
Mg 0.939 0.507 0.128
Mg 0.561 0.507 0.628
Mg 0.061 0.493 0.872
Mg 0.439 0.493 0.372
Mg 0.561 0.993 0.628
Na 0.439 0.750 0.170
Na 0.043 0.250 0.608
Na 0.061 0.750 0.670
Na 0.939 0.250 0.330
Na 0.543 0.750 0.892
Na 0.957 0.750 0.392
Na 0.561 0.250 0.830
Na 0.457 0.250 0.108
CELL_PARAMETERS angstrom
-4.584 -2.433 1.424
2.945 -0.972 7.819
-4.436 10.069 2.922
```

Results
uncorrected energy: -3.14 eV per atom

***

Entry 2:
Material: BeTlAsBr2
Method: DFT, PBE
State: optimized geometry Values from VASP.

Structure (Quantum ESPRESSO input):
```
&SYSTEM
  ibrav = 0, nat = 5, ntyp = 4
/
ATOMIC_SPECIES
Tl 204.38 Tl.upf
Br 79.90 Br.upf
As 74.92 As.upf
Be 9.01 Be.upf
ATOMIC_POSITIONS crystal
Tl 0.000 0.000 0.000
Br 0.000 0.500 0.000
Br 0.500 0.000 0.000
As 0.000 0.000 0.500
Be 0.500 0.500 0.500
CELL_PARAMETERS angstrom
-0.813 5.379 -1.812
-4.579 0.461 3.421
3.259 1.877 4.109
```

Results
formation energy without anion corrections: 0.813 eV per atom
uncorrected energy: -2.00 eV per atom

***

Entry 3:
Material: AgBN2F
Method: DFT, PBE
State: optimized geometry Values from VASP.

Structure (Quantum ESPRESSO input):
```
&SYSTEM
  ibrav = 0, nat = 5, ntyp = 4
/
ATOMIC_SPECIES
F 19.00 F.upf
B 10.81 B.upf
Ag 107.87 Ag.upf
N 14.01 N.upf
ATOMIC_POSITIONS crystal
F 0.000 0.000 0.500
B 0.000 0.000 0.000
Ag 0.500 0.500 0.500
N 0.000 0.500 0.000
N 0.500 0.000 0.000
CELL_PARAMETERS angstrom
-2.760 -1.082 1.021
1.445 -2.462 1.296
0.686 3.120 5.161
```

Results
formation energy without anion corrections: 0.522 eV per atom
uncorrected energy: -5.09 eV per atom

***

Entry 4:
Material: CdAgCl3
Method: DFT, PBE
State: optimized geometry Values from VASP.

Structure (Quantum ESPRESSO input):
```
&SYSTEM
  ibrav = 0, nat = 5, ntyp = 3
/
ATOMIC_SPECIES
Cl 35.45 Cl.upf
Cd 112.41 Cd.upf
Ag 107.87 Ag.upf
ATOMIC_POSITIONS crystal
Cl 0.000 0.000 0.500
Cl 0.000 0.500 0.000
Cl 0.500 0.000 0.000
Cd 0.000 0.000 0.000
Ag 0.500 0.500 0.500
CELL_PARAMETERS angstrom
-0.701 4.528 -2.392
-3.815 -2.072 -2.805
-3.417 1.385 3.623
```

Results
formation energy without anion corrections: -0.528 eV per atom
uncorrected energy: -2.39 eV per atom

***

Entry 5:
Material: Al2CrCd
Method: DFT, PBE
State: optimized geometry Values from VASP.

Structure (Quantum ESPRESSO input):
```
&SYSTEM
  ibrav = 0, nat = 4, ntyp = 3
/
ATOMIC_SPECIES
Cr 52.00 Cr.upf
Al 26.98 Al.upf
Cd 112.41 Cd.upf
ATOMIC_POSITIONS crystal
Cr 0.500 0.500 0.777
Al 0.000 0.000 0.977
Al 0.500 0.500 0.229
Cd 0.000 0.000 0.517
CELL_PARAMETERS angstrom
-2.726 -0.929 -0.535
0.901 -1.190 -2.520
1.595 -6.886 3.822
```

Results
uncorrected energy: -4.30 eV per atom

***

Entry 6:
Material: Ba2SbSe6
Method: DFT, PBE
State: optimized geometry Values from VASP.

Structure (Quantum ESPRESSO input):
```
&SYSTEM
  ibrav = 0, nat = 9, ntyp = 3
/
ATOMIC_SPECIES
Se 78.96 Se.upf
Ba 137.33 Ba.upf
Sb 121.76 Sb.upf
ATOMIC_POSITIONS crystal
Se 0.860 0.073 0.680
Se 0.500 0.781 0.000
Se 0.860 0.607 0.680
Se 0.500 0.219 0.000
Se 0.140 0.927 0.320
Se 0.140 0.393 0.320
Ba 0.365 0.333 0.666
Ba 0.635 0.667 0.334
Sb 0.000 0.000 0.000
CELL_PARAMETERS angstrom
-3.241 -0.956 -3.596
2.543 -8.019 -0.160
-6.251 2.343 4.485
```

Results
formation energy without anion corrections: -0.881 eV per atom
uncorrected energy: -4.09 eV per atom

***

Entry 7:
Material: K3BaNb
Method: DFT, PBE
State: optimized geometry Values from VASP.

Structure (Quantum ESPRESSO input):
```
&SYSTEM
  ibrav = 0, nat = 5, ntyp = 3
/
ATOMIC_SPECIES
Ba 137.33 Ba.upf
Nb 92.91 Nb.upf
K 39.10 K.upf
ATOMIC_POSITIONS crystal
Ba 0.000 0.000 0.000
Nb 0.500 0.500 0.500
K 0.500 0.000 0.000
K 0.000 0.000 0.500
K 0.000 0.500 0.000
CELL_PARAMETERS angstrom
7.156 0.000 0.000
0.000 7.156 0.000
0.000 0.000 7.156
```

Results
uncorrected energy: -1.39 eV per atom

***

Entry 8:
Material: Hf5Zr2In4
Method: DFT, PBE
State: optimized geometry Values from VASP.

Structure (Quantum ESPRESSO input):
```
&SYSTEM
  ibrav = 0, nat = 11, ntyp = 3
/
ATOMIC_SPECIES
Hf 178.49 Hf.upf
In 114.82 In.upf
Zr 91.22 Zr.upf
ATOMIC_POSITIONS crystal
Hf 0.000 0.438 0.294
Hf 0.000 0.500 0.000
Hf 0.000 0.201 0.832
Hf 0.000 0.562 0.706
Hf 0.000 0.799 0.168
In 0.500 0.283 0.561
In 0.500 0.717 0.439
In 0.500 0.829 0.895
In 0.500 0.171 0.105
Zr 0.000 0.069 0.360
Zr 0.000 0.931 0.640
CELL_PARAMETERS angstrom
-2.404 -0.489 -1.831
-3.595 -3.963 5.779
-4.597 8.263 3.828
```

Results
uncorrected energy: -7.07 eV per atom

***

Entry 9:
Material: CsPm3Pr2Te6
Method: DFT, PBE
State: optimized geometry Values from VASP.

Structure (Quantum ESPRESSO input):
```
&SYSTEM
  ibrav = 0, nat = 12, ntyp = 4
/
ATOMIC_SPECIES
Te 127.60 Te.upf
Pm 145.00 Pm.upf
Pr 140.91 Pr.upf
Cs 132.91 Cs.upf
ATOMIC_POSITIONS crystal
Te 0.678 0.085 0.357
Te 0.003 0.278 0.006
Te 0.997 0.722 0.994
Te 0.664 0.587 0.327
Te 0.336 0.413 0.673
Te 0.322 0.915 0.643
Pm 0.838 0.180 0.677
Pm 0.162 0.820 0.323
Pm 0.500 0.500 0.000
Pr 0.828 0.652 0.655
Pr 0.172 0.348 0.345
Cs 0.500 0.000 0.000
CELL_PARAMETERS angstrom
4.502 0.000 0.000
0.000 9.472 0.273
-2.251 -2.793 9.700
```

Results
formation energy without anion corrections: -1.350 eV per atom
uncorrected energy: -4.98 eV per atom

***

Entry 10:
Material: NdDy2Sb
Method: DFT, PBE
State: optimized geometry Values from VASP.

Structure (Quantum ESPRESSO input):
```
&SYSTEM
  ibrav = 0, nat = 4, ntyp = 3
/
ATOMIC_SPECIES
Dy 162.50 Dy.upf
Sb 121.76 Sb.upf
Nd 144.24 Nd.upf
ATOMIC_POSITIONS crystal
Dy 0.000 0.000 0.500
Dy 0.000 0.500 0.000
Sb 0.500 0.000 0.000
Nd 0.500 0.500 0.500
CELL_PARAMETERS angstrom
4.793 0.000 0.000
0.000 4.855 0.000
0.000 0.000 4.855
```

Results
formation energy without anion corrections: -0.499 eV per atom
uncorrected energy: -5.02 eV per atom

***

Entry 11:
Material: Rb2Pm2BiS6
Method: DFT, PBE
State: optimized geometry Values from VASP.

Structure (Quantum ESPRESSO input):
```
&SYSTEM
  ibrav = 0, nat = 11, ntyp = 4
/
ATOMIC_SPECIES
S 32.06 S.upf
Rb 85.47 Rb.upf
Pm 145.00 Pm.upf
Bi 208.98 Bi.upf
ATOMIC_POSITIONS crystal
S 0.938 0.608 0.309
S 0.608 0.938 0.309
S 0.392 0.062 0.691
S 0.261 0.261 0.309
S 0.062 0.392 0.691
S 0.739 0.739 0.691
Rb 0.167 0.833 0.000
Rb 0.833 0.167 0.000
Pm 0.667 0.333 0.500
Pm 0.333 0.667 0.500
Bi 0.000 0.000 0.500
CELL_PARAMETERS angstrom
7.118 -0.018 0.073
-3.534 6.179 0.073
-1.268 -2.180 7.889
```

Results
formation energy without anion corrections: -1.343 eV per atom
uncorrected energy: -4.99 eV per atom

***

Entry 12:
Material: AlAgC
Method: DFT, PBE
State: optimized geometry Values from VASP.

Structure (Quantum ESPRESSO input):
```
&SYSTEM
  ibrav = 0, nat = 6, ntyp = 3
/
ATOMIC_SPECIES
Al 26.98 Al.upf
C 12.01 C.upf
Ag 107.87 Ag.upf
ATOMIC_POSITIONS crystal
Al 0.257 0.573 0.707
Al 0.757 0.860 0.706
C 0.596 0.626 0.207
C 0.918 0.626 0.207
Ag 0.257 0.101 0.708
Ag 0.757 0.243 0.208
CELL_PARAMETERS angstrom
4.358 0.003 0.000
-0.005 6.229 -0.113
0.000 0.060 3.009
```

Results
uncorrected energy: -4.90 eV per atom

***

Entry 13:
Material: Pm2NdSmMg
Method: DFT, PBE
State: optimized geometry Values from VASP.

Structure (Quantum ESPRESSO input):
```
&SYSTEM
  ibrav = 0, nat = 10, ntyp = 4
/
ATOMIC_SPECIES
Pm 145.00 Pm.upf
Nd 144.24 Nd.upf
Sm 150.36 Sm.upf
Mg 24.30 Mg.upf
ATOMIC_POSITIONS crystal
Pm 0.250 0.899 0.187
Pm 0.750 0.872 0.408
Pm 0.250 0.128 0.592
Pm 0.750 0.101 0.813
Nd 0.750 0.464 0.591
Nd 0.250 0.536 0.409
Sm 0.250 0.710 0.812
Sm 0.750 0.290 0.188
Mg 0.250 0.316 0.000
Mg 0.750 0.684 0.000
CELL_PARAMETERS angstrom
-5.305 -2.225 0.371
1.516 -4.309 -4.162
2.025 -3.362 8.800
```

Results
uncorrected energy: -4.10 eV per atom

***

Entry 14:
Material: DyU2S6
Method: DFT, PBE
State: optimized geometry Values from VASP.

Structure (Quantum ESPRESSO input):
```
&SYSTEM
  ibrav = 0, nat = 9, ntyp = 3
/
ATOMIC_SPECIES
U 238.03 U.upf
S 32.06 S.upf
Dy 162.50 Dy.upf
ATOMIC_POSITIONS crystal
U 0.817 0.256 0.109
U 0.183 0.744 0.891
S 0.744 0.636 0.875
S 0.962 0.854 0.221
S 0.371 0.706 0.552
S 0.629 0.294 0.448
S 0.256 0.364 0.125
S 0.038 0.146 0.779
Dy 0.000 0.500 0.500
CELL_PARAMETERS angstrom
-1.668 1.617 4.556
-3.194 -5.358 3.602
4.817 -2.276 5.442
```

Results
formation energy without anion corrections: -1.391 eV per atom
uncorrected energy: -7.16 eV per atom